Nd2ScPb: relaxed, PBE.

Calculated values
M_tot (μB/cell): 1.180
Calculated formation energy (eV per formula unit): -0.6
Energy relative to the lowest polymorph listed for this composition (meV/atom): 147

```
4
Lattice="0.000 3.908 3.908 3.908 0.000 3.908 3.908 3.908 0.000" Properties=species:S:1:pos:R:3 pbc="T T T"
Nd 1.954 1.954 1.954
Nd 5.862 5.862 5.862
Sc 0.000 0.000 0.000
Pb 3.908 3.908 3.908
```

***

NdScPb: relaxed, PBE.

Calculated values
M_tot (μB/cell): 1.475
Calculated formation energy (eV per formula unit): -0.7
Energy relative to the lowest polymorph listed for this composition (meV/atom): 212

```
3
Lattice="-1.933 1.933 5.740 1.933 -1.933 5.740 1.933 1.933 -5.740" Properties=species:S:1:pos:R:3 pbc="T T T"
Nd 0.000 0.000 0.000
Sc 0.000 0.000 7.899
Pb 0.000 0.000 3.659
```

***

NdSc2Pb: relaxed, PBE.

Calculated values
M_tot (μB/cell): 0.000
Calculated formation energy (eV per formula unit): -0.6
Energy relative to the lowest polymorph listed for this composition (meV/atom): 103

```
4
Lattice="3.748 0.000 0.000 0.000 3.748 0.000 0.000 0.000 7.640" Properties=species:S:1:pos:R:3 pbc="T T T"
Nd 0.000 0.000 0.000
Sc 1.874 1.874 2.153
Sc 1.874 1.874 5.487
Pb 0.000 0.000 3.820
```

***

NdScPb: relaxed, PBE.

Calculated values
M_tot (μB/cell): 1.217
Calculated formation energy (eV per formula unit): -1.4
Energy relative to the lowest polymorph listed for this composition (meV/atom): 0

```
6
Lattice="4.544 0.000 0.000 0.000 4.544 0.000 0.000 0.000 8.445" Properties=species:S:1:pos:R:3 pbc="T T T"
Nd 1.136 1.136 1.296
Nd 3.408 3.408 7.149
Sc 1.136 3.408 4.222
Sc 3.408 1.136 4.222
Pb 1.136 1.136 6.362
Pb 3.408 3.408 2.083
```

***

Which formula does entry 2 have? NdScPb